# CoP2O2 (PBE with a Hubbard U, relaxed)
data_CoP2O2
_chemical_formula_sum 'Co2 P4 O4'
_symmetry_space_group_name_H-M 'P 4/m b m'
_symmetry_Int_Tables_number 127
_symmetry_space_group_name_Hall '-P 4 2ab'
_cell_length_a 7.0272
_cell_length_b 7.0272
_cell_length_c 2.5877
_cell_angle_alpha 90.00
_cell_angle_beta 90.00
_cell_angle_gamma 90.00
loop_
_atom_site_label
_atom_site_type_symbol
_atom_site_fract_x
_atom_site_fract_y
_atom_site_fract_z
Co1 Co 0.0000 0.0000 0.0000
P1 P 0.2255 0.2745 0.5000
O1 O 0.1207 0.6207 0.5000
# M_tot = 1.77 μB/f.u.
# Total DFT energy (no corrections) = -26.26 eV/f.u.
# Volume = 127.8 Å³/cell